1.
Sc2Ta | PBE | optimized geometry

```
Sc2Ta
1.0
5.572 0.000 0.000
2.786 4.825 0.000
0.000 0.000 9.492
Sc Ta
8 4
Direct
0.349 0.825 0.750
0.000 0.000 0.500
0.175 0.175 0.250
0.175 0.651 0.250
0.000 0.000 0.000
0.825 0.825 0.750
0.825 0.349 0.750
0.651 0.175 0.250
0.667 0.667 0.461
0.333 0.333 0.961
0.667 0.667 0.039
0.333 0.333 0.539
```

Results
Space-group type   P6_3/mmc (194)
Magnetization   0.9 μB per formula unit
ΔE_f   0.62 eV per atom

2.
Sc3Ta2 | PBE | optimized geometry

```
Sc3Ta2
1.0
-6.941 10.834 1.561
-8.676 9.024 3.358
-6.200 10.442 4.530
Sc Ta
3 2
Direct
0.204 0.204 0.204
0.000 0.000 0.000
0.796 0.796 0.796
0.601 0.601 0.601
0.399 0.399 0.399
```

Results
Space-group type   R-3m (166)
Magnetization   0.0 μB per formula unit
ΔE_f   0.20 eV per atom

3.
ScTa | PBE | optimized geometry

```
ScTa
1.0
-0.398 -2.308 -1.795
1.688 -0.998 2.205
-8.092 -2.530 5.047
Sc Ta
2 2
Direct
0.500 0.500 0.729
0.000 0.000 0.021
0.000 0.000 0.487
0.500 0.500 0.263
```

Results
Space-group type   Cmme (67)
Magnetization   0.0 μB per formula unit
ΔE_f   0.15 eV per atom

4.
Sc2Ta | PBE | optimized geometry

```
Sc2Ta
1.0
5.642 -0.261 0.577
-2.911 4.385 2.129
-1.913 -4.491 2.900
Sc Ta
4 2
Direct
0.834 0.334 0.168
0.334 0.166 0.500
0.666 0.834 0.500
0.166 0.666 0.832
0.750 0.750 0.000
0.250 0.250 0.000
```

Results
Space-group type   I4/mcm (140)
Magnetization   0.0 μB per formula unit
ΔE_f   0.26 eV per atom

5.
ScTa3 | PBE | optimized geometry

```
ScTa3
1.0
4.265 0.000 0.000
0.000 4.265 0.000
0.000 0.000 4.265
Ta Sc
3 1
Direct
0.500 0.500 0.000
0.000 0.500 0.500
0.500 0.000 0.500
0.000 0.000 0.000
```

Results
Space-group type   Pm-3m (221)
Magnetization   0.0 μB per formula unit
ΔE_f   0.28 eV per atom

6.
Sc2Ta | PBE | optimized geometry

```
Sc2Ta
1.0
-5.216 -3.064 -2.982
-1.915 -2.531 5.950
-3.822 5.449 1.087
Sc Ta
8 4
Direct
0.250 0.750 0.750
0.750 0.750 0.750
0.250 0.250 0.750
0.250 0.250 0.250
0.750 0.250 0.750
0.750 0.750 0.250
0.250 0.750 0.250
0.750 0.250 0.250
0.500 0.000 0.500
0.500 0.500 0.000
0.000 0.500 0.500
0.000 0.000 0.000
```

Results
Space-group type   Fm-3m (225)
Magnetization   1.9 μB per formula unit
ΔE_f   0.96 eV per atom

7.
ScTa | PBE | optimized geometry

```
ScTa
1.0
4.081 0.000 0.000
0.000 4.081 0.000
0.000 0.000 4.844
Ta Sc
2 2
Direct
0.250 0.750 0.000
0.750 0.250 0.000
0.750 0.750 0.504
0.250 0.250 0.496
```

Results
Space-group type   P4/nmm (129)
Magnetization   0.0 μB per formula unit
ΔE_f   0.22 eV per atom

8.
ScTa | PBE | optimized geometry

```
ScTa
1.0
-2.869 -0.725 -0.729
1.733 -1.988 1.528
-3.235 3.944 8.801
Sc Ta
2 2
Direct
0.000 0.000 0.000
0.000 0.000 0.500
0.333 0.667 0.250
0.667 0.333 0.750
```

Results
Space-group type   P6_3/mmc (194)
Magnetization   0.0 μB per formula unit
ΔE_f   0.22 eV per atom